Here is AlCo2Ag after structural relaxation from Alexandria. Energies are from PBE-GGA.

Lattice parameters (Å, degrees): 8.7370 2.7621 4.5554 90.00 103.52 90.00
Last column: nearest neighbours and their distance in Å.
Space group Cm (No. 8)
Symmetry-distinct sites (fractional):
Al  0.0000  0.0000  0.0000 x2  5 Co 2.51-2.73, 3 Ag 2.64-2.70, 2 Al 2.76
Co  0.0232  0.5000  0.5526 x2  3 Co 2.46-2.69, 2 Al 2.51, 3 Ag 2.71-2.73
Co  0.2565  0.0000  0.7534 x2  3 Co 2.46-2.69, 3 Al 2.56-2.73, 4 Ag 2.63-2.70
Ag  0.2614  0.5000  0.2654 x2  7 Co 2.63-2.73, 3 Al 2.64-2.70, 2 Ag 2.76

Values from the calculation:
ΔH_f (0 K), eV per atom: 0.061
Calculated density, g cm⁻³: 7.9
Calculated volume, Å³ per cell: 106.9

Here is AlCo2Ag after structural relaxation from Alexandria. Energies are from PBE-GGA.

Lattice parameters (Å, degrees): 3.8275 3.8275 7.2327 90.00 90.00 90.00
Last column: nearest neighbours and their distance in Å.
Space group I-4m2 (No. 119)
Symmetry-distinct sites (fractional):
Al  0.0000  0.0000  0.0000 x2  8 Co 2.63-2.71, 4 Ag 2.63
Co  0.0000  0.0000  0.5000 x2  4 Co 2.63, 4 Ag 2.63, 4 Al 2.71
Co  0.0000  0.5000  0.7500 x2  4 Al 2.63, 4 Co 2.63, 4 Ag 2.71
Ag  0.0000  0.5000  0.2500 x2  8 Co 2.63-2.71, 4 Al 2.63

Values from the calculation:
ΔH_f (0 K), eV per atom: 0.067
Calculated density, g cm⁻³: 7.9
Calculated volume, Å³ per cell: 106.0

Here is AlCo2Ag after structural relaxation from Alexandria. Energies are from PBE-GGA.

Lattice parameters (Å, degrees): 2.8573 2.8573 6.3946 90.00 90.00 90.00
Last column: nearest neighbours and their distance in Å.
Space group P4/mmm (No. 123)
Symmetry-distinct sites (fractional):
Al  0.0000  0.0000  0.0000 x1  8 Co 2.45
Co  0.5000  0.5000  0.2169 x2  4 Al 2.45, 4 Ag 2.71
Ag  0.0000  0.0000  0.5000 x1  8 Co 2.71, 4 Ag 2.86

Values from the calculation:
ΔH_f (0 K), eV per atom: 0.028
Calculated density, g cm⁻³: 8.0
Calculated volume, Å³ per cell: 52.2

Here is Al5Co4Ag after structural relaxation from Alexandria. Energies are from PBE-GGA.

Lattice parameters (Å, degrees): 2.8508 2.8508 15.5365 90.00 90.00 90.00
Last column: nearest neighbours and their distance in Å.
Space group P4/mmm (No. 123)
Symmetry-distinct sites (fractional):
Al  0.0000  0.0000  0.0000 x1  8 Co 2.47
Al  0.0000  0.0000  0.1848 x2  8 Co 2.48-2.49
Al  0.0000  0.0000  0.3684 x2  4 Co 2.45
Co  0.5000  0.5000  0.0921 x2  8 Al 2.47-2.48
Co  0.5000  0.5000  0.2790 x2  8 Al 2.45-2.49
Ag  0.5000  0.5000  0.5000 x1  4 Ag 2.85, 8 Al 2.87

Values from the calculation:
ΔH_f (0 K), eV per atom: -0.490
Calculated density, g cm⁻³: 6.3
Calculated volume, Å³ per cell: 126.3

Here is AlCo2Ag after structural relaxation from Alexandria. Energies are from PBE-GGA.

Lattice parameters (Å, degrees): 2.8975 4.3296 8.5317 90.00 90.00 90.00
Last column: nearest neighbours and their distance in Å.
Space group Imm2 (No. 44)
Symmetry-distinct sites (fractional):
Al  0.0000  0.0000  0.0000 x2  6 Co 2.51-2.62, 2 Ag 2.67
Co  0.0000  0.0000  0.5322 x2  2 Co 2.42, 4 Al 2.62
Co  0.0000  0.5000  0.2591 x2  2 Co 2.42, 2 Al 2.51, 4 Ag 2.61
Ag  0.0000  0.5000  0.7634 x2  6 Co 2.61-2.71, 2 Al 2.67, 2 Ag 2.90

Values from the calculation:
ΔH_f (0 K), eV per atom: 0.068
Calculated density, g cm⁻³: 7.8
Calculated volume, Å³ per cell: 107.0

Here is Al2CoAg after structural relaxation from Alexandria. Energies are from PBE-GGA.

Lattice parameters (Å, degrees): 2.8265 2.8265 25.2551 90.00 90.00 120.00
Last column: nearest neighbours and their distance in Å.
Space group R-3m (No. 166, hexagonal axes)
Symmetry-distinct sites (fractional):
Al  0.0000  0.0000  0.2388 x6  3 Co 2.45
Co  0.0000  0.0000  0.5000 x3  6 Al 2.45
Ag  0.0000  0.0000  0.0000 x3  6 Ag 2.83, 6 Al 2.89

Values from the calculation:
ΔH_f (0 K), eV per atom: -0.144
Calculated density, g cm⁻³: 6.3
Calculated volume, Å³ per cell: 174.7

Here is AlCo2Ag after structural relaxation from Alexandria. Energies are from PBE-GGA.

Lattice parameters (Å, degrees): 3.7639 3.7639 3.7125 90.00 90.00 90.00
Last column: nearest neighbours and their distance in Å.
Space group P4/mmm (No. 123)
Symmetry-distinct sites (fractional):
Al  0.0000  0.0000  0.0000 x1  8 Co 2.64, 4 Ag 2.66
Co  0.0000  0.5000  0.5000 x2  4 Al 2.64, 4 Ag 2.64, 4 Co 2.66
Ag  0.5000  0.5000  0.0000 x1  8 Co 2.64, 4 Al 2.66

Values from the calculation:
ΔH_f (0 K), eV per atom: 0.078
Calculated density, g cm⁻³: 8.0
Calculated volume, Å³ per cell: 52.6

Here is Al2CoAg after structural relaxation from Alexandria. Energies are from PBE-GGA.

Lattice parameters (Å, degrees): 3.9808 3.9808 13.6622 90.00 90.00 120.00
Last column: nearest neighbours and their distance in Å.
Space group R3m (No. 160, hexagonal axes)
Symmetry-distinct sites (fractional):
Al  0.0000  0.0000  0.0000 x3  3 Co 2.34
Al  0.0000  0.0000  0.2189 x3  3 Co 2.55, 3 Al 2.78, 3 Ag 2.79
Co  0.0000  0.0000  0.6328 x3  6 Al 2.34-2.55
Ag  0.0000  0.0000  0.4368 x3  4 Co 2.68-2.97, 7 Al 2.70-2.98

Values from the calculation:
ΔH_f (0 K), eV per atom: -0.074
Calculated density, g cm⁻³: 5.9
Calculated volume, Å³ per cell: 187.5

Here is AlCo2Ag after structural relaxation from Alexandria. Energies are from PBE-GGA.

Lattice parameters (Å, degrees): 8.7936 2.7598 4.5579 90.00 103.96 90.00
Last column: nearest neighbours and their distance in Å.
Space group C2/m (No. 12)
Symmetry-distinct sites (fractional):
Al  0.0000  0.0000  0.0000 x2  6 Co 2.52-2.71, 4 Ag 2.66, 2 Al 2.76
Co  0.2395  0.5000  0.2200 x4  4 Co 2.48-2.76, 3 Al 2.52-2.71, 3 Ag 2.71
Ag  0.0000  0.5000  0.5000 x2  4 Al 2.66, 6 Co 2.71, 2 Ag 2.76

Values from the calculation:
ΔH_f (0 K), eV per atom: 0.101
Calculated density, g cm⁻³: 7.8
Calculated volume, Å³ per cell: 107.3

Here is Al2CoAg after structural relaxation from Alexandria. Energies are from PBE-GGA.

Lattice parameters (Å, degrees): 2.8733 2.8890 6.8163 90.00 90.00 90.00
Last column: nearest neighbours and their distance in Å.
Space group Pmmm (No. 47)
Symmetry-distinct sites (fractional):
Al  0.0000  0.0000  0.2058 x2  4 Co 2.47
Co  0.5000  0.5000  0.0000 x1  8 Al 2.47
Ag  0.5000  0.5000  0.5000 x1  8 Al 2.86, 4 Ag 2.87-2.89

Values from the calculation:
ΔH_f (0 K), eV per atom: -0.323
Calculated density, g cm⁻³: 6.5
Calculated volume, Å³ per cell: 56.6

Here is Al2CoAg after structural relaxation from Alexandria. Energies are from PBE-GGA.

Lattice parameters (Å, degrees): 4.2964 4.2964 3.0437 90.00 90.00 90.00
Last column: nearest neighbours and their distance in Å.
Space group P4/mmm (No. 123)
Symmetry-distinct sites (fractional):
Al  0.0000  0.5000  0.0000 x2  4 Co 2.63, 4 Ag 2.63
Co  0.0000  0.0000  0.5000 x1  8 Al 2.63
Ag  0.5000  0.5000  0.5000 x1  8 Al 2.63

Values from the calculation:
ΔH_f (0 K), eV per atom: -0.170
Calculated density, g cm⁻³: 6.5
Calculated volume, Å³ per cell: 56.2

Here is AlCoAg3 after structural relaxation from Alexandria. Energies are from PBE-GGA.

Lattice parameters (Å, degrees): 4.7474 4.7474 4.7474 90.00 90.00 90.00
Last column: nearest neighbours and their distance in Å.
Space group Pm-3m (No. 221)
Symmetry-distinct sites (fractional):
Al  0.0000  0.0000  0.0000 x1  6 Ag 2.37
Co  0.5000  0.5000  0.5000 x1  12 Ag 3.36
Ag  0.0000  0.0000  0.5000 x3  2 Al 2.37

Values from the calculation:
ΔH_f (0 K), eV per atom: 1.001
Calculated density, g cm⁻³: 6.4
Calculated volume, Å³ per cell: 107.0

Let's list magnetization in order: 2.6 2.6 1.5 0.9 2.7 0.1 2.1 0.0 2.6 0.5 0.5 2.0 μB per formula unit.